Entry from Alexandria: Fe4AgTe after structural relaxation (PBE).

* energy relative to the elements, uncorrected: 2.1 eV per formula unit

a = 5.026 Å, b = 5.026 Å, c = 5.026 Å
α = 60.00°, β = 60.00°, γ = 60.00°
Positions (direct):
Fe (0.877, 0.374, 0.374)
Fe (0.374, 0.374, 0.374)
Fe (0.374, 0.374, 0.877)
Fe (0.374, 0.877, 0.374)
Ag (0.000, 0.000, 0.000)
Te (0.750, 0.750, 0.750)



Entry from Alexandria: SrTa2Tc after structural relaxation (PBE).

* electronic total energy: -8.493 eV/atom

a = 3.193 Å, b = 3.193 Å, c = 8.578 Å
α = 90.00°, β = 90.00°, γ = 90.00°
Positions (direct):
Ta (0.000, 0.000, 0.074)
Ta (0.000, 0.000, 0.426)
Tc (0.500, 0.500, 0.250)
Sr (0.500, 0.500, 0.750)



Entry from Alexandria: Tb3SmRu4 after structural relaxation (PBE).

* electronic total energy: -7.216 eV/atom

a = 4.845 Å, b = 4.845 Å, c = 8.390 Å
α = 73.22°, β = 73.22°, γ = 60.00°
Positions (direct):
Ru (0.126, 0.126, 0.623)
Ru (0.376, 0.376, 0.873)
Ru (0.624, 0.624, 0.127)
Ru (0.874, 0.874, 0.377)
Sm (0.000, 0.000, 0.000)
Tb (0.249, 0.249, 0.252)
Tb (0.500, 0.500, 0.500)
Tb (0.751, 0.751, 0.748)



Entry from Alexandria: K2HBr after structural relaxation (PBE).

* electronic total energy: -2.665 eV/atom

a = 3.786 Å, b = 3.786 Å, c = 7.556 Å
α = 90.00°, β = 90.00°, γ = 90.00°
Positions (direct):
K (0.000, 0.000, 0.229)
K (0.000, 0.000, 0.771)
Br (0.500, 0.500, 0.500)
H (0.500, 0.500, 0.000)



Entry from Alexandria: BeNb2CuW after structural relaxation (PBE).

* electronic total energy: -7.240 eV/atom

a = 4.707 Å, b = 3.734 Å, c = 4.707 Å
α = 90.00°, β = 90.00°, γ = 90.00°
Positions (direct):
Nb (0.000, 0.000, 0.500)
Nb (0.500, 0.000, 0.000)
Cu (0.000, 0.000, 0.000)
W (0.500, 0.500, 0.500)
Be (0.000, 0.500, 0.000)



Entry from Alexandria: IrRu2Pb after structural relaxation (PBE).

* electronic total energy: -7.183 eV/atom

a = 9.325 Å, b = 9.325 Å, c = 9.325 Å
α = 18.00°, β = 18.00°, γ = 18.00°
Positions (direct):
Pb (0.750, 0.750, 0.750)
Ru (0.251, 0.251, 0.251)
Ru (0.991, 0.991, 0.991)
Ir (0.508, 0.508, 0.508)



Entry from Alexandria: ScRu2Pb after structural relaxation (PBE).

* electronic total energy: -6.750 eV/atom

a = 4.243 Å, b = 4.243 Å, c = 9.450 Å
α = 77.03°, β = 77.03°, γ = 90.00°
Positions (direct):
Ru (0.198, 0.625, 0.250)
Ru (0.552, 0.125, 0.250)
Ru (0.875, 0.802, 0.750)
Ru (0.375, 0.448, 0.750)
Sc (0.500, 0.500, 0.000)
Sc (0.250, 0.750, 0.500)
Pb (0.000, 0.000, 0.000)
Pb (0.750, 0.250, 0.500)



Entry from Alexandria: LaSm2Y after structural relaxation (PBE).

* electronic total energy: -5.190 eV/atom

a = 5.166 Å, b = 7.317 Å, c = 7.239 Å
α = 90.00°, β = 90.00°, γ = 90.00°
Positions (direct):
Sm (0.500, 0.000, 0.746)
Sm (0.500, 0.500, 0.746)
Sm (0.500, 0.000, 0.254)
Sm (0.500, 0.500, 0.254)
Y (0.000, 0.250, 0.500)
Y (0.000, 0.750, 0.500)
La (0.000, 0.250, 0.000)
La (0.000, 0.750, 0.000)



Entry from Alexandria: RbNd2CuO5 after structural relaxation (PBE).

* energy relative to the elements, uncorrected: -19.4 eV per formula unit

a = 6.834 Å, b = 6.834 Å, c = 7.569 Å
α = 116.84°, β = 116.84°, γ = 90.00°
Positions (direct):
Nd (0.324, 0.824, 0.000)
Nd (0.676, 0.176, 0.000)
Nd (0.176, 0.324, 0.000)
Nd (0.824, 0.676, 0.000)
O (0.000, 0.000, 0.000)
O (0.496, 0.256, 0.252)
O (0.756, 0.996, 0.252)
O (0.256, 0.756, 0.252)
O (0.004, 0.504, 0.748)
O (0.996, 0.496, 0.252)
O (0.500, 0.500, 0.000)
O (0.504, 0.744, 0.748)
O (0.244, 0.004, 0.748)
O (0.744, 0.244, 0.748)
Cu (0.250, 0.750, 0.500)
Cu (0.750, 0.250, 0.500)
Rb (0.250, 0.250, 0.500)
Rb (0.750, 0.750, 0.500)



Entry from Alexandria: AlBS4 after structural relaxation (PBE).

* energy relative to the elements, uncorrected: -0.2 eV per formula unit

a = 3.480 Å, b = 6.370 Å, c = 11.253 Å
α = 66.13°, β = 90.00°, γ = 90.00°
Positions (direct):
B (0.500, 0.500, 0.500)
B (0.000, 0.000, 0.000)
S (0.507, 0.237, 0.371)
S (0.222, 0.764, 0.115)
S (0.493, 0.763, 0.629)
S (0.278, 0.264, 0.615)
S (0.007, 0.263, 0.129)
S (0.993, 0.737, 0.871)
S (0.722, 0.736, 0.385)
S (0.778, 0.236, 0.885)
Al (0.500, 0.500, 0.000)
Al (0.000, 0.000, 0.500)



Entry from Alexandria: Ba2LiAu2 after structural relaxation (PBE).

* electronic total energy: -2.696 eV/atom

a = 4.696 Å, b = 4.696 Å, c = 9.639 Å
α = 75.90°, β = 75.90°, γ = 90.00°
Positions (direct):
Ba (0.627, 0.627, 0.746)
Ba (0.373, 0.373, 0.254)
Li (0.000, 0.000, 0.000)
Au (0.250, 0.750, 0.500)
Au (0.750, 0.250, 0.500)



Entry from Alexandria: Tc2AuI after structural relaxation (PBE).

* energy relative to the elements, uncorrected: 3.6 eV per formula unit

a = 4.596 Å, b = 4.596 Å, c = 4.596 Å
α = 60.00°, β = 60.00°, γ = 60.00°
Positions (direct):
Tc (0.250, 0.250, 0.250)
Tc (0.750, 0.750, 0.750)
Au (0.500, 0.500, 0.500)
I (0.000, 0.000, 0.000)



Number 1: magnetization 10.7 μB per cell. Number 2: magnetization 0.0 μB per cell. Number 3: magnetization 0.0 μB per cell. Number 4: magnetization 0.0 μB per cell. Number 5: magnetization 0.0 μB per cell. Number 6: magnetization 0.0 μB per cell. Number 7: magnetization 0.0 μB per cell. Number 8: magnetization 0.0 μB per cell. Number 9: magnetization 4.1 μB per cell. Number 10: magnetization 0.0 μB per cell. Number 11: magnetization 0.0 μB per cell. Number 12: magnetization 0.0 μB per cell.